1.
HfTl2OsPb after structural relaxation, computed with PBE.

Properties
density of states at the Fermi level = 4.96 states/eV per cell
energy of formation = 506 meV per atom
total DFT energy (no corrections) = -27.10 eV/cell
crystal system = tetragonal

Unit cell a=5.315 b=5.315 c=4.992 alpha=90.00 beta=90.00 gamma=90.00
Element x y z (fractional)
Hf 0.000 0.000 0.000
Tl 0.000 0.500 0.500
Tl 0.500 0.000 0.500
Os 0.000 0.000 0.500
Pb 0.500 0.500 0.000

2.
Pr2YAl after structural relaxation, computed with PBE.

Properties
density of states at the Fermi level = 5.34 states/eV per cell
E above lowest polymorph = 164 meV per atom
energy of formation = -9 meV per atom
total DFT energy (no corrections) = -19.80 eV/cell
crystal system = trigonal

Unit cell a=10.970 b=10.970 c=10.970 alpha=19.48 beta=19.48 gamma=19.48
Element x y z (fractional)
Pr 0.000 0.000 0.000
Pr 0.188 0.188 0.188
Y 0.427 0.427 0.427
Al 0.594 0.594 0.594

3.
RbSiB after structural relaxation, computed with PBE.

Properties
density of states at the Fermi level = 0.45 states/eV per cell
formation energy without anion corrections = 0.535 eV per atom
total DFT energy (no corrections) = -22.93 eV/cell
crystal system = orthorhombic

Unit cell a=5.342 b=5.342 c=6.445 alpha=90.00 beta=90.00 gamma=97.34
Element x y z (fractional)
Rb 0.141 0.859 0.750
Rb 0.859 0.141 0.250
Si 0.377 0.623 0.250
Si 0.623 0.377 0.750
B 0.500 0.500 0.000
B 0.500 0.500 0.500

- Which value of total DFT energy (no corrections) does entry 3 give?
  -22.93 eV/cell

What did the first record say?
HfTl2OsPb after structural relaxation, computed with PBE.

Properties
density of states at the Fermi level = 4.96 states/eV per cell
energy of formation = 506 meV per atom
total DFT energy (no corrections) = -27.10 eV/cell
crystal system = tetragonal

Unit cell a=5.315 b=5.315 c=4.992 alpha=90.00 beta=90.00 gamma=90.00
Element x y z (fractional)
Hf 0.000 0.000 0.000
Tl 0.000 0.500 0.500
Tl 0.500 0.000 0.500
Os 0.000 0.000 0.500
Pb 0.500 0.500 0.000